{
  "formula": "Ho3Rh2",
  "functional": "PBE",
  "state": "relaxed",
  "magnetic_moment_mub_per_cell": 0.00,
  "e_tot_ev_per_atom": -6.381,
  "polymorph_energy_mev_per_atom": 101.0,
  "formation_energy_ev_per_fu": -3.5,
  "lattice": [[-2.2879, 6.3119, 0.7083], [-4.4865, 1.4416, 4.8342], [2.5140, 3.8599, 5.8961]],
  "species": ["Ho", "Rh", "Ho", "Ho", "Ho", "Ho", "Ho", "Rh", "Rh", "Rh"],
  "fractional_positions": [[0.0977, 0.7500, 0.7500], [0.6722, 0.6722, 0.9833], [0.4023, 0.0977, 0.7500], [0.5977, 0.9023, 0.2500], [0.7500, 0.4023, 0.7500], [0.9023, 0.2500, 0.2500], [0.2500, 0.5977, 0.2500], [0.8278, 0.8278, 0.5167], [0.3278, 0.3278, 0.0167], [0.1722, 0.1722, 0.4833]]
}